{
  "formula": "ReMo2Pt",
  "functional": "PBE",
  "state": "relaxed",
  "delta_e_f_ev_per_atom": 0.03,
  "mass_density_g_cm3": 15.3,
  "e_above_lowest_polymorph_ev_per_atom": 0.1702,
  "sg": "Cmm2, No. 35",
  "lattice_angstrom": [[2.702, 0.001, 0.000], [-0.642, 2.624, 0.000], [0.000, 0.000, 8.786]],
  "species": ["Re", "Pt", "Mo", "Mo"],
  "frac_coords": [[0.500, 0.500, 0.750], [0.000, 0.000, 0.501], [0.000, 0.000, 0.997], [0.500, 0.500, 0.252]]
}

=====

{
  "formula": "Re2MoPt",
  "functional": "PBE",
  "state": "relaxed",
  "delta_e_f_ev_per_atom": 0.07,
  "mass_density_g_cm3": 18.0,
  "e_above_lowest_polymorph_ev_per_atom": 0.1864,
  "sg": "P4/mmm, No. 123",
  "lattice_angstrom": [[2.756, 0.002, 0.000], [-0.005, 2.756, 0.000], [0.000, 0.000, 8.068]],
  "species": ["Re", "Re", "Mo", "Pt"],
  "frac_coords": [[0.000, 0.000, 0.496], [0.000, 0.000, 0.004], [0.500, 0.500, 0.250], [0.500, 0.500, 0.750]]
}

=====

{
  "formula": "ReMoPt",
  "functional": "PBE",
  "state": "relaxed",
  "delta_e_f_ev_per_atom": 0.02,
  "mass_density_g_cm3": 17.1,
  "e_above_lowest_polymorph_ev_per_atom": 0.0885,
  "sg": "P3m1, No. 156",
  "lattice_angstrom": [[-0.583, 1.608, -2.174], [-2.043, -1.253, 1.381], [-0.529, 5.523, 4.228]],
  "species": ["Pt", "Mo", "Re"],
  "frac_coords": [[0.667, 0.333, 0.334], [0.000, 0.000, 0.000], [0.333, 0.667, 0.666]]
}

=====

{
  "formula": "Re2MoPt",
  "functional": "PBE",
  "state": "relaxed",
  "delta_e_f_ev_per_atom": 0.28,
  "mass_density_g_cm3": 17.7,
  "e_above_lowest_polymorph_ev_per_atom": 0.3987,
  "sg": "F-43m, No. 216",
  "lattice_angstrom": [[4.445, 0.000, 0.000], [2.223, 3.850, 0.000], [2.223, 1.283, 3.629]],
  "species": ["Mo", "Re", "Re", "Pt"],
  "frac_coords": [[0.500, 0.500, 0.500], [0.250, 0.250, 0.250], [0.000, 0.000, 0.000], [0.750, 0.750, 0.750]]
}

=====

{
  "formula": "ReMo2Pt",
  "functional": "PBE",
  "state": "relaxed",
  "delta_e_f_ev_per_atom": 0.06,
  "mass_density_g_cm3": 15.2,
  "e_above_lowest_polymorph_ev_per_atom": 0.1940,
  "sg": "P4/mmm, No. 123",
  "lattice_angstrom": [[-0.032, -3.270, -0.629], [0.653, -0.623, 3.206], [-5.547, -0.157, 1.100]],
  "species": ["Mo", "Mo", "Pt", "Re"],
  "frac_coords": [[0.000, 0.000, 0.996], [0.000, 0.000, 0.504], [0.500, 0.500, 0.250], [0.500, 0.500, 0.750]]
}

=====

{
  "formula": "ReMo2Pt",
  "functional": "PBE",
  "state": "relaxed",
  "delta_e_f_ev_per_atom": -0.06,
  "mass_density_g_cm3": 15.4,
  "e_above_lowest_polymorph_ev_per_atom": 0.0722,
  "sg": "I-4m2, No. 119",
  "lattice_angstrom": [[4.843, -0.007, -0.011], [1.625, 4.562, 0.011], [-3.228, -2.286, 2.794]],
  "species": ["Re", "Mo", "Mo", "Pt"],
  "frac_coords": [[0.250, 0.750, 0.500], [0.750, 0.250, 0.500], [0.000, 0.000, 0.000], [0.500, 0.500, 0.000]]
}

=====

{
  "formula": "ReMo2Pt",
  "functional": "PBE",
  "state": "relaxed",
  "delta_e_f_ev_per_atom": 0.62,
  "mass_density_g_cm3": 13.9,
  "e_above_lowest_polymorph_ev_per_atom": 0.7529,
  "sg": "I-42d, No. 122",
  "lattice_angstrom": [[-1.815, 3.240, 6.076], [-5.717, -4.212, 0.538], [-2.311, -2.283, 4.700]],
  "species": ["Mo", "Mo", "Mo", "Mo", "Re", "Re", "Pt", "Pt"],
  "frac_coords": [[0.375, 0.395, 0.750], [0.875, 0.855, 0.750], [0.605, 0.125, 0.250], [0.145, 0.625, 0.250], [0.250, 0.750, 0.500], [0.500, 0.500, 0.000], [0.000, 0.000, 0.000], [0.750, 0.250, 0.500]]
}

=====

{
  "formula": "ReMo2Pt",
  "functional": "PBE",
  "state": "relaxed",
  "delta_e_f_ev_per_atom": 0.04,
  "mass_density_g_cm3": 15.3,
  "e_above_lowest_polymorph_ev_per_atom": 0.1755,
  "sg": "P4mm, No. 99",
  "lattice_angstrom": [[2.762, 0.000, 0.000], [0.000, 2.762, 0.000], [0.000, 0.000, 8.161]],
  "species": ["Pt", "Re", "Mo", "Mo"],
  "frac_coords": [[0.000, 0.000, 0.503], [0.500, 0.500, 0.753], [0.500, 0.500, 0.252], [0.000, 0.000, 0.992]]
}

=====

{
  "formula": "Re4MoPt",
  "functional": "PBE",
  "state": "relaxed",
  "delta_e_f_ev_per_atom": 0.26,
  "mass_density_g_cm3": 17.9,
  "sg": "F-43m, No. 216",
  "lattice_angstrom": [[0.000, 3.634, 3.634], [3.634, 0.000, 3.634], [3.634, 3.634, 0.000]],
  "species": ["Mo", "Pt", "Re", "Re", "Re", "Re"],
  "frac_coords": [[0.750, 0.750, 0.750], [0.000, 0.000, 0.000], [0.374, 0.374, 0.374], [0.374, 0.878, 0.374], [0.878, 0.374, 0.374], [0.374, 0.374, 0.878]]
}

=====

{
  "formula": "ReMo2Pt",
  "functional": "PBE",
  "state": "relaxed",
  "delta_e_f_ev_per_atom": 0.21,
  "mass_density_g_cm3": 15.1,
  "e_above_lowest_polymorph_ev_per_atom": 0.3426,
  "sg": "Fm-3m, No. 225",
  "lattice_angstrom": [[0.000, 3.159, 3.159], [3.159, 0.000, 3.159], [3.159, 3.159, 0.000]],
  "species": ["Mo", "Mo", "Pt", "Re"],
  "frac_coords": [[0.750, 0.750, 0.750], [0.250, 0.250, 0.250], [0.500, 0.500, 0.500], [0.000, 0.000, 0.000]]
}

=====

{
  "formula": "ReMo2Pt",
  "functional": "PBE",
  "state": "relaxed",
  "delta_e_f_ev_per_atom": 0.23,
  "mass_density_g_cm3": 15.2,
  "e_above_lowest_polymorph_ev_per_atom": 0.3714,
  "sg": "F-43m, No. 216",
  "lattice_angstrom": [[-3.119, -3.073, -0.858], [0.652, -2.996, -3.241], [0.739, -4.277, 1.032]],
  "species": ["Mo", "Mo", "Re", "Pt"],
  "frac_coords": [[0.000, 0.000, 0.000], [0.250, 0.250, 0.250], [0.750, 0.750, 0.750], [0.500, 0.500, 0.500]]
}

=====

{
  "formula": "Re2SbMoPt",
  "functional": "PBE",
  "state": "relaxed",
  "raw_formation_energy_ev_per_atom": 2.01,
  "mass_density_g_cm3": 11.7,
  "sg": "P4/mmm, No. 123",
  "lattice_angstrom": [[4.800, 0.000, 0.000], [0.000, 4.819, 0.000], [0.000, 0.000, 4.800]],
  "species": ["Re", "Re", "Sb", "Pt", "Mo"],
  "frac_coords": [[0.500, 0.000, 0.000], [0.000, 0.000, 0.500], [0.500, 0.500, 0.500], [0.000, 0.000, 0.000], [0.000, 0.500, 0.000]]
}

=====

{
  "formula": "TiReMo2Pt",
  "functional": "PBE",
  "state": "relaxed",
  "delta_e_f_ev_per_atom": 1.73,
  "mass_density_g_cm3": 10.1,
  "sg": "P4/mmm, No. 123",
  "lattice_angstrom": [[4.721, 0.000, 0.000], [0.000, 4.580, 0.000], [0.000, 0.000, 4.721]],
  "species": ["Pt", "Re", "Ti", "Mo", "Mo"],
  "frac_coords": [[0.000, 0.000, 0.000], [0.500, 0.500, 0.500], [0.000, 0.500, 0.000], [0.500, 0.000, 0.000], [0.000, 0.000, 0.500]]
}

=====

{
  "formula": "VReMoPt2",
  "functional": "PBE",
  "state": "relaxed",
  "delta_e_f_ev_per_atom": 1.59,
  "mass_density_g_cm3": 11.1,
  "sg": "P4/mmm, No. 123",
  "lattice_angstrom": [[-2.853, 0.395, -3.882], [-1.346, -4.406, 0.541], [-3.642, 1.460, 2.824]],
  "species": ["Mo", "V", "Pt", "Pt", "Re"],
  "frac_coords": [[0.000, 0.500, 0.000], [0.500, 0.500, 0.500], [0.500, 0.000, 0.000], [0.000, 0.000, 0.500], [0.000, 0.000, 0.000]]
}

=====

{
  "formula": "V2ReMoPt",
  "functional": "PBE",
  "state": "relaxed",
  "delta_e_f_ev_per_atom": 1.72,
  "mass_density_g_cm3": 9.9,
  "sg": "P4/mmm, No. 123",
  "lattice_angstrom": [[-2.757, -2.382, -2.650], [3.658, -2.778, -1.309], [-0.888, -2.785, 3.428]],
  "species": ["Pt", "Re", "V", "V", "Mo"],
  "frac_coords": [[0.000, 0.000, 0.000], [0.000, 0.500, 0.000], [0.500, 0.000, 0.000], [0.000, 0.000, 0.500], [0.500, 0.500, 0.500]]
}

=====

{
  "formula": "Mo2PtRh",
  "functional": "PBE",
  "state": "relaxed",
  "delta_e_f_ev_per_atom": 0.40,
  "mass_density_g_cm3": 12.2,
  "e_above_lowest_polymorph_ev_per_atom": 0.6958,
  "sg": "I-42d, No. 122",
  "lattice_angstrom": [[7.061, 0.000, 0.000], [0.000, 7.061, 0.000], [3.530, 3.530, 2.682]],
  "species": ["Mo", "Mo", "Mo", "Mo", "Pt", "Pt", "Rh", "Rh"],
  "frac_coords": [[0.375, 0.392, 0.750], [0.142, 0.625, 0.250], [0.608, 0.125, 0.250], [0.875, 0.858, 0.750], [0.000, 0.000, 0.000], [0.750, 0.250, 0.500], [0.250, 0.750, 0.500], [0.500, 0.500, 0.000]]
}

=====

{
  "formula": "Mo5Pt2Rh2",
  "functional": "PBE",
  "state": "relaxed",
  "delta_e_f_ev_per_atom": -0.12,
  "mass_density_g_cm3": 12.9,
  "sg": "C2/m, No. 12",
  "lattice_angstrom": [[3.729, 0.000, 1.384], [1.426, 4.222, 1.874], [-0.944, -0.518, 8.257]],
  "species": ["Pt", "Pt", "Mo", "Mo", "Mo", "Mo", "Mo", "Rh", "Rh"],
  "frac_coords": [[0.332, 0.779, 0.557], [0.668, 0.221, 0.443], [0.000, 0.000, 0.000], [0.002, 0.664, 0.333], [0.334, 0.119, 0.212], [0.998, 0.336, 0.667], [0.666, 0.881, 0.788], [0.668, 0.555, 0.109], [0.332, 0.445, 0.891]]
}

=====

{
  "formula": "MoPt3Rh6",
  "functional": "PBE",
  "state": "relaxed",
  "delta_e_f_ev_per_atom": -0.07,
  "mass_density_g_cm3": 14.6,
  "e_above_lowest_polymorph_ev_per_atom": 0.0000,
  "sg": "P2_1/m, No. 11",
  "lattice_angstrom": [[-3.575, 1.380, 2.280], [0.203, -6.114, 4.018], [5.292, 7.616, 3.689]],
  "species": ["Pt", "Pt", "Pt", "Pt", "Pt", "Pt", "Rh", "Rh", "Rh", "Rh", "Rh", "Rh", "Rh", "Rh", "Rh", "Rh", "Rh", "Rh", "Mo", "Mo"],
  "frac_coords": [[0.750, 0.231, 0.034], [0.250, 0.769, 0.966], [0.750, 0.640, 0.233], [0.750, 0.432, 0.631], [0.250, 0.360, 0.767], [0.250, 0.568, 0.369], [0.750, 0.128, 0.729], [0.250, 0.065, 0.866], [0.750, 0.331, 0.335], [0.750, 0.535, 0.933], [0.250, 0.465, 0.067], [0.750, 0.834, 0.830], [0.750, 0.737, 0.531], [0.250, 0.872, 0.271], [0.250, 0.166, 0.170], [0.750, 0.935, 0.134], [0.250, 0.263, 0.469], [0.250, 0.669, 0.665], [0.250, 0.963, 0.571], [0.750, 0.037, 0.429]]
}

=====

{
  "formula": "Mo2Pt3Rh2",
  "functional": "PBE",
  "state": "relaxed",
  "delta_e_f_ev_per_atom": 0.00,
  "mass_density_g_cm3": 14.8,
  "sg": "Cmmm, No. 65",
  "lattice_angstrom": [[4.342, 0.000, -0.053], [0.000, 2.704, 0.000], [-2.061, 0.000, 9.399]],
  "species": ["Rh", "Rh", "Pt", "Pt", "Pt", "Mo", "Mo"],
  "frac_coords": [[0.862, 0.000, 0.724], [0.138, 0.000, 0.276], [0.000, 0.000, 0.000], [0.288, 0.000, 0.576], [0.712, 0.000, 0.424], [0.423, 0.500, 0.847], [0.577, 0.500, 0.153]]
}

=====

{
  "formula": "Mo2Pt2Rh5",
  "functional": "PBE",
  "state": "relaxed",
  "delta_e_f_ev_per_atom": -0.01,
  "mass_density_g_cm3": 13.3,
  "e_above_lowest_polymorph_ev_per_atom": 0.1851,
  "sg": "C2/m, No. 12",
  "lattice_angstrom": [[2.723, 0.000, 0.000], [-1.362, 8.932, 1.824], [0.000, 2.412, 6.128]],
  "species": ["Mo", "Mo", "Rh", "Rh", "Rh", "Rh", "Rh", "Pt", "Pt"],
  "frac_coords": [[0.599, 0.198, 0.143], [0.401, 0.802, 0.857], [0.218, 0.437, 0.200], [0.943, 0.886, 0.443], [0.000, 0.000, 0.000], [0.057, 0.114, 0.557], [0.782, 0.563, 0.800], [0.827, 0.654, 0.310], [0.173, 0.346, 0.690]]
}